A relaxed structure of Rb2AcSn2Se4. Source: Alexandria via LeMat-Bulk, functional PBE.

abc: 9.8131 9.8131 8.6171
angles: 114.39 114.39 26.01
Last column: nearest neighbours and their distance in Å.
Positions (direct):
Rb: 0.1221 0.1221 0.0657  5 Se 3.52-3.87, 1 Sn 3.80
Rb: 0.8779 0.8779 0.9343  5 Se 3.52-3.87, 1 Sn 3.80
Ac: 0.0000 0.0000 0.5000  6 Se 3.09-3.14
Sn: 0.3112 0.3112 0.4679  3 Se 2.82-2.87
Sn: 0.6888 0.6888 0.5321  3 Se 2.82-2.87
Se: 0.1763 0.1763 0.7232  2 Sn 2.82, 1 Ac 3.09
Se: 0.4682 0.4682 0.7205  1 Sn 2.87, 2 Ac 3.14
Se: 0.5318 0.5318 0.2795  1 Sn 2.87, 2 Ac 3.14
Se: 0.8237 0.8237 0.2768  2 Sn 2.82, 1 Ac 3.09

Computed properties:
SG	C2/m (12)
uncorrected energy	-4.1472	eV per atom
formation energy from raw total energies	-9.34	eV per formula unit



A relaxed structure of Tl3Zn2CdF9. Source: Alexandria via LeMat-Bulk, functional PBE.

abc: 6.0568 6.0568 7.4638
angles: 90.00 90.00 120.00
Last column: nearest neighbours and their distance in Å.
Positions (direct):
Tl: 0.0000 0.0000 0.0000  12 F 3.00-3.03
Tl: 0.3333 0.6667 0.6715  12 F 3.01-3.12
Tl: 0.6667 0.3333 0.3285  12 F 3.01-3.12
Zn: 0.3333 0.6667 0.1577  6 F 2.07-2.11
Zn: 0.6667 0.3333 0.8423  6 F 2.07-2.11
Cd: 0.0000 0.0000 0.5000  6 F 2.26
F: 0.0000 0.5000 0.0000  2 Zn 2.11
F: 0.1734 0.3469 0.3194  1 Zn 2.07, 1 Cd 2.26
F: 0.1734 0.8266 0.3194  1 Zn 2.07, 1 Cd 2.26
F: 0.3469 0.1734 0.6806  1 Zn 2.07, 1 Cd 2.26
F: 0.5000 0.0000 0.0000  2 Zn 2.11
F: 0.5000 0.5000 0.0000  2 Zn 2.11
F: 0.6531 0.8266 0.3194  1 Zn 2.07, 1 Cd 2.26
F: 0.8266 0.1734 0.6806  1 Zn 2.07, 1 Cd 2.26
F: 0.8266 0.6531 0.6806  1 Zn 2.07, 1 Cd 2.26

Computed properties:
SG	P-3m1 (164)
uncorrected energy	-3.9205	eV per atom
formation energy from raw total energies	-31.40	eV per formula unit



A relaxed structure of RhAu4. Source: Alexandria via LeMat-Bulk, functional PBE.

abc: 5.0136 5.0136 5.0136
angles: 99.79 99.79 131.30
Last column: nearest neighbours and their distance in Å.
Positions (direct):
Rh: 0.0000 0.0000 0.0000  12 Au 2.88-2.90
Au: 0.2025 0.3980 0.6005  9 Au 2.87-2.93, 3 Rh 2.88-2.90
Au: 0.3980 0.7975 0.1955  9 Au 2.87-2.93, 3 Rh 2.88-2.90
Au: 0.6020 0.2025 0.8045  9 Au 2.87-2.93, 3 Rh 2.88-2.90
Au: 0.7975 0.6020 0.3995  9 Au 2.87-2.93, 3 Rh 2.88-2.90

Computed properties:
SG	I4/m (87)
uncorrected energy	-3.9898	eV per atom
offset from the most stable computed form	0	meV/atom



A relaxed structure of Na2Sr2Ga. Source: Alexandria via LeMat-Bulk, functional PBE.

abc: 8.1390 8.1390 5.4913
angles: 90.00 90.00 90.00
Last column: nearest neighbours and their distance in Å.
Positions (direct):
Na: 0.1351 0.3649 0.0000  1 Na 3.11, 2 Ga 3.17, 2 Sr 3.42
Na: 0.3649 0.8649 0.0000  1 Na 3.11, 2 Ga 3.17, 2 Sr 3.42
Na: 0.6351 0.1351 0.0000  1 Na 3.11, 2 Ga 3.17, 2 Sr 3.42
Na: 0.8649 0.6351 0.0000  1 Na 3.11, 2 Ga 3.17, 2 Sr 3.42
Sr: 0.1875 0.6875 0.5000  6 Na 3.42-3.82
Sr: 0.3125 0.1875 0.5000  6 Na 3.42-3.82
Sr: 0.6875 0.8125 0.5000  6 Na 3.42-3.82
Sr: 0.8125 0.3125 0.5000  6 Na 3.42-3.82
Ga: 0.0000 0.0000 0.0000  4 Na 3.17
Ga: 0.5000 0.5000 0.0000  4 Na 3.17

Computed properties:
SG	P4/mbm (127)
uncorrected energy	-1.7474	eV per atom
offset from the most stable computed form	222	meV/atom



A relaxed structure of Na2Tb3NdTe6. Source: Alexandria via LeMat-Bulk, functional PBE.

abc: 7.6581 7.6581 7.7965
angles: 99.43 99.43 119.97
Last column: nearest neighbours and their distance in Å.
Positions (direct):
Na: 0.1667 0.8333 0.0000  6 Te 3.17-3.18
Na: 0.8333 0.1667 0.0000  6 Te 3.17-3.18
Tb: 0.0000 0.0000 0.5000  6 Te 3.11-3.12
Tb: 0.3330 0.6670 0.5000  6 Te 3.11-3.12
Tb: 0.6670 0.3330 0.5000  6 Te 3.11-3.12
Nd: 0.5000 0.5000 0.0000  6 Te 3.19
Te: 0.0798 0.4143 0.7429  3 Tb 3.11-3.12, 2 Na 3.17-3.18, 1 Nd 3.19
Te: 0.2519 0.2519 0.2586  3 Tb 3.11-3.12, 2 Na 3.18, 1 Nd 3.19
Te: 0.4143 0.0798 0.7429  3 Tb 3.11-3.12, 2 Na 3.17-3.18, 1 Nd 3.19
Te: 0.5857 0.9202 0.2571  3 Tb 3.11-3.12, 2 Na 3.17-3.18, 1 Nd 3.19
Te: 0.7481 0.7481 0.7414  3 Tb 3.11-3.12, 2 Na 3.18, 1 Nd 3.19
Te: 0.9202 0.5857 0.2571  3 Tb 3.11-3.12, 2 Na 3.17-3.18, 1 Nd 3.19

Computed properties:
SG	C2/m (12)
uncorrected energy	-4.6812	eV per atom
formation energy from raw total energies	-16.03	eV per formula unit



A relaxed structure of CuPd3Au3. Source: Alexandria via LeMat-Bulk, functional PBE.

abc: 6.9854 6.9854 6.9854
angles: 62.64 62.64 62.64
Last column: nearest neighbours and their distance in Å.
Positions (direct):
Cu: 0.1863 0.1863 0.1863  6 Pd 2.58-2.71, 3 Au 2.73
Cu: 0.8137 0.8137 0.8137  6 Pd 2.58-2.71, 3 Au 2.73
Pd: 0.1617 0.4239 0.7807  2 Cu 2.58-2.71, 2 Pd 2.71, 5 Au 2.71-2.84
Pd: 0.2193 0.8383 0.5761  2 Cu 2.58-2.71, 2 Pd 2.71, 5 Au 2.71-2.84
Pd: 0.4239 0.7807 0.1617  2 Cu 2.58-2.71, 2 Pd 2.71, 5 Au 2.71-2.84
Pd: 0.5761 0.2193 0.8383  2 Cu 2.58-2.71, 2 Pd 2.71, 5 Au 2.71-2.84
Pd: 0.7807 0.1617 0.4239  2 Cu 2.58-2.71, 2 Pd 2.71, 5 Au 2.71-2.84
Pd: 0.8383 0.5761 0.2193  2 Cu 2.58-2.71, 2 Pd 2.71, 5 Au 2.71-2.84
Au: 0.0095 0.2716 0.5880  5 Pd 2.71-2.84, 1 Cu 2.73, 3 Au 2.80-2.90
Au: 0.2716 0.5880 0.0095  5 Pd 2.71-2.84, 1 Cu 2.73, 3 Au 2.80-2.90
Au: 0.4120 0.9905 0.7284  5 Pd 2.71-2.84, 1 Cu 2.73, 3 Au 2.80-2.90
Au: 0.5880 0.0095 0.2716  5 Pd 2.71-2.84, 1 Cu 2.73, 3 Au 2.80-2.90
Au: 0.7284 0.4120 0.9905  5 Pd 2.71-2.84, 1 Cu 2.73, 3 Au 2.80-2.90
Au: 0.9905 0.7284 0.4120  5 Pd 2.71-2.84, 1 Cu 2.73, 3 Au 2.80-2.90

Computed properties:
SG	R-3 (148)
uncorrected energy	-4.0946	eV per atom
offset from the most stable computed form	90	meV/atom



A relaxed structure of Ca2Ga3Cu4Ag. Source: Alexandria via LeMat-Bulk, functional PBE.

abc: 4.2790 4.2790 10.1349
angles: 90.00 90.00 90.00
Last column: nearest neighbours and their distance in Å.
Positions (direct):
Ca: 0.0000 0.5000 0.2431  8 Cu 3.24-3.26, 6 Ga 3.27-3.37, 2 Ag 3.37
Ca: 0.5000 0.0000 0.7569  8 Cu 3.24-3.26, 6 Ga 3.27-3.37, 2 Ag 3.37
Ga: 0.0000 0.5000 0.8800  5 Cu 2.40-2.46
Ga: 0.5000 0.0000 0.1200  5 Cu 2.40-2.46
Ga: 0.5000 0.5000 0.5000  4 Cu 2.59
Cu: 0.0000 0.0000 0.0000  4 Ga 2.46
Cu: 0.0000 0.5000 0.6432  3 Ga 2.40-2.59, 2 Ag 2.59
Cu: 0.5000 0.0000 0.3568  3 Ga 2.40-2.59, 2 Ag 2.59
Cu: 0.5000 0.5000 0.0000  4 Ga 2.46
Ag: 0.0000 0.0000 0.5000  4 Cu 2.59

Computed properties:
SG	P-4m2 (115)
uncorrected energy	-3.4773	eV per atom



A relaxed structure of Na3U2PaN6. Source: Alexandria via LeMat-Bulk, functional PBE.

abc: 6.1407 6.1407 6.0405
angles: 99.74 99.74 120.02
Last column: nearest neighbours and their distance in Å.
Positions (direct):
Na: 0.0000 0.0000 0.0000  6 N 2.71-2.75
Na: 0.3295 0.6705 0.0000  6 N 2.69-2.77
Na: 0.6705 0.3295 0.0000  6 N 2.69-2.77
U: 0.1666 0.8334 0.5000  6 N 2.28
U: 0.8334 0.1666 0.5000  6 N 2.28
Pa: 0.5000 0.5000 0.5000  6 N 2.31
N: 0.1022 0.4398 0.3196  2 U 2.28, 1 Pa 2.31
N: 0.2226 0.2226 0.6809  2 U 2.28, 1 Pa 2.31
N: 0.4398 0.1022 0.3196  2 U 2.28, 1 Pa 2.31
N: 0.5602 0.8978 0.6804  2 U 2.28, 1 Pa 2.31
N: 0.7774 0.7774 0.3191  2 U 2.28, 1 Pa 2.31
N: 0.8978 0.5602 0.6804  2 U 2.28, 1 Pa 2.31

Computed properties:
SG	C2/m (12)
uncorrected energy	-8.2619	eV per atom
formation energy from raw total energies	-13.16	eV per formula unit



A relaxed structure of Sc2InIr. Source: Alexandria via LeMat-Bulk, functional PBE.

abc: 6.2217 6.2217 6.2217
angles: 102.48 102.48 124.61
Last column: nearest neighbours and their distance in Å.
Positions (direct):
Sc: 0.0676 0.6250 0.9426  2 Ir 2.56
Sc: 0.3750 0.3176 0.4426  2 Ir 2.56
Sc: 0.6824 0.1250 0.0574  2 Ir 2.56
Sc: 0.8750 0.9324 0.5574  2 Ir 2.56
In: 0.2500 0.7500 0.5000  2 Ir 2.89, 4 Sc 3.17
In: 0.5000 0.5000 0.0000  2 Ir 2.89, 4 Sc 3.17
Ir: 0.0000 0.0000 0.0000  4 Sc 2.56
Ir: 0.7500 0.2500 0.5000  4 Sc 2.56

Computed properties:
SG	I-42d (122)
uncorrected energy	-6.3450	eV per atom



A relaxed structure of Ho3Er7Mg. Source: Alexandria via LeMat-Bulk, functional PBE.

abc: 6.9121 6.9121 8.4725
angles: 90.00 90.00 120.00
Last column: nearest neighbours and their distance in Å.
Positions (direct):
Ho: 0.1684 0.3367 0.0000  4 Ho 3.42-3.49, 5 Er 3.43-3.49, 1 Mg 3.51
Ho: 0.1684 0.8316 0.0000  4 Ho 3.42-3.49, 5 Er 3.43-3.49, 1 Mg 3.51
Ho: 0.6633 0.8316 0.0000  4 Ho 3.42-3.49, 5 Er 3.43-3.49, 1 Mg 3.51
Er: 0.0057 0.5029 0.3395  7 Er 3.40-3.52, 2 Mg 3.46, 2 Ho 3.49
Er: 0.3327 0.1663 0.6659  1 Mg 3.41, 8 Er 3.42-3.46, 2 Ho 3.47
Er: 0.3333 0.6667 0.6692  9 Er 3.41-3.46, 3 Ho 3.43
Er: 0.4971 0.5029 0.3395  7 Er 3.40-3.52, 2 Mg 3.46, 2 Ho 3.49
Er: 0.4971 0.9943 0.3395  7 Er 3.40-3.52, 2 Mg 3.46, 2 Ho 3.49
Er: 0.8337 0.1663 0.6659  1 Mg 3.41, 8 Er 3.42-3.46, 2 Ho 3.47
Er: 0.8337 0.6673 0.6659  1 Mg 3.41, 8 Er 3.42-3.46, 2 Ho 3.47
Mg: 0.0000 0.0000 0.3398  9 Er 3.41-3.46, 3 Ho 3.51

Computed properties:
SG	P3m1 (156)
uncorrected energy	-4.0973	eV per atom



A relaxed structure of TbSc3B4O12. Source: Alexandria via LeMat-Bulk, functional PBE.

abc: 4.8530 5.9700 7.7232
angles: 105.34 90.15 90.03
Last column: nearest neighbours and their distance in Å.
Positions (direct):
Tb: 0.0000 0.0000 0.0000  6 O 2.29-2.30
Sc: 0.0000 0.0000 0.5000  6 O 2.09-2.17
Sc: 0.5000 0.5000 0.0000  6 O 2.11-2.21
Sc: 0.5000 0.5000 0.5000  6 O 2.17-2.18
B: 0.0029 0.4927 0.7460  3 O 1.39
B: 0.4968 0.9962 0.2591  3 O 1.38-1.39
B: 0.5032 0.0038 0.7409  3 O 1.38-1.39
B: 0.9971 0.5073 0.2540  3 O 1.39
O: 0.1438 0.3533 0.6006  1 B 1.39
O: 0.1516 0.6253 0.8907  1 B 1.39
O: 0.2123 0.9967 0.2647  1 B 1.38
O: 0.2838 0.4951 0.2511  1 B 1.39
O: 0.3511 0.8536 0.6066  1 B 1.39
O: 0.3738 0.1509 0.8872  1 B 1.39
O: 0.6262 0.8491 0.1128  1 B 1.39
O: 0.6489 0.1464 0.3934  1 B 1.39
O: 0.7161 0.5049 0.7489  1 B 1.39
O: 0.7877 0.0033 0.7353  1 B 1.38
O: 0.8484 0.3747 0.1093  1 B 1.39
O: 0.8562 0.6467 0.3994  1 B 1.39

Computed properties:
SG	P-1 (2)
uncorrected energy	-8.5226	eV per atom
formation energy from raw total energies	-60.62	eV per formula unit
offset from the most stable computed form	6	meV/atom



A relaxed structure of ZnAs2Ru. Source: Alexandria via LeMat-Bulk, functional PBE.

abc: 3.3743 4.2140 4.5035
angles: 90.00 90.00 90.00
Last column: nearest neighbours and their distance in Å.
Positions (direct):
Zn: 0.0000 0.0000 0.0000  4 As 2.70, 4 Ru 2.81
As: 0.0000 0.5000 0.5000  4 Ru 2.70, 4 As 2.81
As: 0.5000 0.5000 0.0000  4 Zn 2.70, 4 As 2.81
Ru: 0.5000 0.0000 0.5000  4 As 2.70, 4 Zn 2.81

Computed properties:
SG	Pmmm (47)
uncorrected energy	-4.6606	eV per atom